No. 1
# ZnFePt4, optimized geometry, DFT PBEsol
# DOS at the Fermi energy: 1.07 states/eV per atom
data_ZnFePt4
_chemical_formula_sum 'Zn4 Fe4 Pt16'
_space_group_name_H-M_alt 'F -4 3 m'
_space_group_IT_number 216
_space_group_name_Hall 'F -4 2 3'
_cell_length_a 7.284
_cell_length_b 7.284
_cell_length_c 7.284
_cell_angle_alpha 90.00
_cell_angle_beta 90.00
_cell_angle_gamma 90.00
loop_
_atom_site_label
_atom_site_type_symbol
_atom_site_fract_x
_atom_site_fract_y
_atom_site_fract_z
Zn1 Zn 0.000 0.000 0.000
Fe1 Fe 0.250 0.250 0.750
Pt1 Pt 0.125 0.125 0.375

---

No. 2
# CoTeP2, optimized geometry, DFT PBEsol
# DOS at the Fermi energy: 0.87 states/eV per atom
# ΔE_f (raw): 2.84 eV/f.u.
data_CoTeP2
_chemical_formula_sum 'Co1 Te1 P2'
_space_group_name_H-M_alt 'P 4/m m m'
_space_group_IT_number 123
_space_group_name_Hall '-P 4 2'
_cell_length_a 4.490
_cell_length_b 4.490
_cell_length_c 3.112
_cell_angle_alpha 90.00
_cell_angle_beta 90.00
_cell_angle_gamma 90.00
loop_
_atom_site_label
_atom_site_type_symbol
_atom_site_fract_x
_atom_site_fract_y
_atom_site_fract_z
Co1 Co 0.000 0.000 0.000
Te1 Te 0.500 0.500 0.000
P1 P 0.000 0.500 0.500

---

No. 3
# Sr12Al14O33, optimized geometry, DFT PBEsol
# ΔE_f (raw): -178.03 eV/f.u.
data_Sr12Al14O33
_chemical_formula_sum 'Sr24 Al28 O66'
_space_group_name_H-M_alt 'I -4'
_space_group_IT_number 82
_space_group_name_Hall 'I -4'
_cell_length_a 12.345
_cell_length_b 12.345
_cell_length_c 12.263
_cell_angle_alpha 90.00
_cell_angle_beta 90.00
_cell_angle_gamma 90.00
loop_
_atom_site_label
_atom_site_type_symbol
_atom_site_fract_x
_atom_site_fract_y
_atom_site_fract_z
Sr1 Sr 0.000 0.000 0.186
Sr2 Sr 0.000 0.500 0.018
Sr3 Sr 0.107 0.756 0.619
Sr4 Sr 0.138 0.242 0.122
Al1 Al 0.000 0.000 0.500
Al2 Al 0.000 0.500 0.750
Al3 Al 0.013 0.234 0.356
Al4 Al 0.018 0.270 0.890
Al5 Al 0.127 0.749 0.124
O1 O 0.000 0.000 0.000
O2 O 0.036 0.797 0.224
O3 O 0.040 0.701 0.020
O4 O 0.044 0.109 0.419
O5 O 0.051 0.402 0.840
O6 O 0.065 0.805 0.804
O7 O 0.069 0.682 0.433
O8 O 0.145 0.288 0.327
O9 O 0.151 0.220 0.918

---

No. 4
# KW2Br, optimized geometry, DFT PBEsol
# DOS at the Fermi energy: 0.97 states/eV per atom
# ΔE_f (raw): 5.64 eV/f.u.
# offset from the most stable computed form: 3.07 eV/f.u.
data_KW2Br
_chemical_formula_sum 'K1 W2 Br1'
_space_group_name_H-M_alt 'P 4/m m m'
_space_group_IT_number 123
_space_group_name_Hall '-P 4 2'
_cell_length_a 3.785
_cell_length_b 3.785
_cell_length_c 6.587
_cell_angle_alpha 90.00
_cell_angle_beta 90.00
_cell_angle_gamma 90.00
loop_
_atom_site_label
_atom_site_type_symbol
_atom_site_fract_x
_atom_site_fract_y
_atom_site_fract_z
K1 K 0.000 0.000 0.000
W1 W 0.000 0.500 0.500
Br1 Br 0.500 0.500 0.000

---

No. 5
# ScPRuS2, optimized geometry, DFT PBEsol
# DOS at the Fermi energy: 0.76 states/eV per atom
# ΔE_f (raw): -0.55 eV/f.u.
data_ScPRuS2
_chemical_formula_sum 'Sc1 P1 Ru1 S2'
_space_group_name_H-M_alt 'P 4/m m m'
_space_group_IT_number 123
_space_group_name_Hall '-P 4 2'
_cell_length_a 4.695
_cell_length_b 4.695
_cell_length_c 4.290
_cell_angle_alpha 90.00
_cell_angle_beta 90.00
_cell_angle_gamma 90.00
loop_
_atom_site_label
_atom_site_type_symbol
_atom_site_fract_x
_atom_site_fract_y
_atom_site_fract_z
Sc1 Sc 0.000 0.000 0.000
P1 P 0.500 0.500 0.000
Ru1 Ru 0.500 0.500 0.500
S1 S 0.000 0.500 0.500

---

No. 6
# Li2VF6, optimized geometry, DFT PBEsol
# DOS at the Fermi energy: 0.82 states/eV per atom
# ΔE_f (raw): -25.99 eV/f.u.
# offset from the most stable computed form: 0.48 eV/f.u.
data_Li2VF6
_chemical_formula_sum 'Li8 V4 F24'
_space_group_name_H-M_alt 'C 1 c 1'
_space_group_IT_number 9
_space_group_name_Hall 'C -2yc'
_cell_length_a 8.527
_cell_length_b 5.626
_cell_length_c 9.030
_cell_angle_alpha 90.00
_cell_angle_beta 101.47
_cell_angle_gamma 90.00
loop_
_atom_site_label
_atom_site_type_symbol
_atom_site_fract_x
_atom_site_fract_y
_atom_site_fract_z
Li1 Li 0.000 0.136 0.000
Li2 Li 0.012 0.337 0.364
V1 V 0.203 0.335 0.707
F1 F 0.031 0.194 0.576
F2 F 0.097 0.342 0.872
F3 F 0.108 0.367 0.172
F4 F 0.288 0.054 0.781
F5 F 0.294 0.324 0.542
F6 F 0.394 0.464 0.813

---

No. 7
# ReNi2Te, optimized geometry, DFT PBEsol
# DOS at the Fermi energy: 0.83 states/eV per atom
# ΔE_f (raw): 1.90 eV/f.u.
data_ReNi2Te
_chemical_formula_sum 'Re3 Ni6 Te3'
_space_group_name_H-M_alt 'R -3 m'
_space_group_IT_number 166
_space_group_name_Hall '-R 3 2"'
_cell_length_a 2.8792
_cell_length_b 2.8792
_cell_length_c 24.5381
_cell_angle_alpha 90.00
_cell_angle_beta 90.00
_cell_angle_gamma 120.00
loop_
_atom_site_label
_atom_site_type_symbol
_atom_site_fract_x
_atom_site_fract_y
_atom_site_fract_z
Re1 Re 0.0000 0.0000 0.0000
Ni1 Ni 0.0000 0.0000 0.2534
Te1 Te 0.0000 0.0000 0.5000

---

No. 8
# ReNi2Os, optimized geometry, DFT PBEsol
# DOS at the Fermi energy: 1.05 states/eV per atom
# offset from the most stable computed form: 0.55 eV/f.u.
data_ReNi2Os
_chemical_formula_sum 'Re2 Ni4 Os2'
_space_group_name_H-M_alt 'C m m m'
_space_group_IT_number 65
_space_group_name_Hall '-C 2 2'
_cell_length_a 5.156
_cell_length_b 7.402
_cell_length_c 2.595
_cell_angle_alpha 90.00
_cell_angle_beta 90.00
_cell_angle_gamma 90.00
loop_
_atom_site_label
_atom_site_type_symbol
_atom_site_fract_x
_atom_site_fract_y
_atom_site_fract_z
Re1 Re 0.000 0.000 0.000
Ni1 Ni 0.250 0.250 0.500
Os1 Os 0.000 0.500 0.000

---

No. 9
# CaYMg6, optimized geometry, DFT PBEsol
# DOS at the Fermi energy: 0.75 states/eV per atom
# offset from the most stable computed form: 0.10 eV/f.u.
data_CaYMg6
_chemical_formula_sum 'Ca1 Y1 Mg6'
_space_group_name_H-M_alt 'P 4/m m m'
_space_group_IT_number 123
_space_group_name_Hall '-P 4 2'
_cell_length_a 6.631
_cell_length_b 6.631
_cell_length_c 4.652
_cell_angle_alpha 90.00
_cell_angle_beta 90.00
_cell_angle_gamma 90.00
loop_
_atom_site_label
_atom_site_type_symbol
_atom_site_fract_x
_atom_site_fract_y
_atom_site_fract_z
Ca1 Ca 0.000 0.000 0.000
Y1 Y 0.500 0.500 0.000
Mg1 Mg 0.000 0.500 0.000
Mg2 Mg 0.256 0.256 0.500

---

No. 10
# Na5InO4, optimized geometry, DFT PBEsol
# DOS at the Fermi energy: 0.00 states/eV per atom
# ΔE_f (raw): -13.99 eV/f.u.
# offset from the most stable computed form: 0.00 eV/f.u.
data_Na5InO4
_chemical_formula_sum 'Na40 In8 O32'
_space_group_name_H-M_alt 'P b c a'
_space_group_IT_number 61
_space_group_name_Hall '-P 2ac 2ab'
_cell_length_a 10.543
_cell_length_b 10.774
_cell_length_c 10.690
_cell_angle_alpha 90.00
_cell_angle_beta 90.00
_cell_angle_gamma 90.00
loop_
_atom_site_label
_atom_site_type_symbol
_atom_site_fract_x
_atom_site_fract_y
_atom_site_fract_z
Na1 Na 0.095 0.147 0.124
Na2 Na 0.103 0.661 0.881
Na3 Na 0.132 0.618 0.151
Na4 Na 0.143 0.103 0.387
Na5 Na 0.167 0.617 0.607
In1 In 0.115 0.122 0.852
O1 O 0.000 0.244 0.956
O2 O 0.010 0.512 0.747
O3 O 0.232 0.243 0.752
O4 O 0.238 0.044 0.985

---

No. 11
# KW3O9, optimized geometry, DFT PBEsol
# DOS at the Fermi energy: 0.12 states/eV per atom
# ΔE_f (raw): -28.48 eV/f.u.
data_KW3O9
_chemical_formula_sum 'K1 W3 O9'
_space_group_name_H-M_alt 'P 6 m m'
_space_group_IT_number 183
_space_group_name_Hall 'P 6 -2'
_cell_length_a 7.4103
_cell_length_b 7.4103
_cell_length_c 3.8205
_cell_angle_alpha 90.00
_cell_angle_beta 90.00
_cell_angle_gamma 120.00
loop_
_atom_site_label
_atom_site_type_symbol
_atom_site_fract_x
_atom_site_fract_y
_atom_site_fract_z
K1 K 0.0000 0.0000 0.0000
W1 W 0.0000 0.5000 0.3240
O1 O 0.0000 0.5000 0.8228
O2 O 0.2112 0.4224 0.3219

---

No. 12
# SrLiTl, optimized geometry, DFT PBEsol
# DOS at the Fermi energy: 0.23 states/eV per atom
# offset from the most stable computed form: 0.05 eV/f.u.
data_SrLiTl
_chemical_formula_sum 'Sr2 Li2 Tl2'
_space_group_name_H-M_alt 'I 4 m m'
_space_group_IT_number 107
_space_group_name_Hall 'I 4 -2'
_cell_length_a 3.897
_cell_length_b 3.897
_cell_length_c 11.234
_cell_angle_alpha 90.00
_cell_angle_beta 90.00
_cell_angle_gamma 90.00
loop_
_atom_site_label
_atom_site_type_symbol
_atom_site_fract_x
_atom_site_fract_y
_atom_site_fract_z
Sr1 Sr 0.000 0.000 0.000
Li1 Li 0.000 0.000 0.704
Tl1 Tl 0.000 0.000 0.310

---

No. 13
# ZrBe2Pb, optimized geometry, DFT PBEsol
# DOS at the Fermi energy: 0.66 states/eV per atom
data_ZrBe2Pb
_chemical_formula_sum 'Zr2 Be4 Pb2'
_space_group_name_H-M_alt 'I -4 m 2'
_space_group_IT_number 119
_space_group_name_Hall 'I -4 -2'
_cell_length_a 3.798
_cell_length_b 3.798
_cell_length_c 9.121
_cell_angle_alpha 90.00
_cell_angle_beta 90.00
_cell_angle_gamma 90.00
loop_
_atom_site_label
_atom_site_type_symbol
_atom_site_fract_x
_atom_site_fract_y
_atom_site_fract_z
Zr1 Zr 0.000 0.000 0.000
Be1 Be 0.000 0.000 0.500
Be2 Be 0.000 0.500 0.250
Pb1 Pb 0.000 0.500 0.750

---

No. 14
# LaIrF2, optimized geometry, DFT PBEsol
# DOS at the Fermi energy: 0.77 states/eV per atom
# ΔE_f (raw): -6.15 eV/f.u.
# offset from the most stable computed form: 0.12 eV/f.u.
data_LaIrF2
_chemical_formula_sum 'La3 Ir3 F6'
_space_group_name_H-M_alt 'R -3 m'
_space_group_IT_number 166
_space_group_name_Hall '-R 3 2"'
_cell_length_a 3.9997
_cell_length_b 3.9997
_cell_length_c 15.6676
_cell_angle_alpha 90.00
_cell_angle_beta 90.00
_cell_angle_gamma 120.00
loop_
_atom_site_label
_atom_site_type_symbol
_atom_site_fract_x
_atom_site_fract_y
_atom_site_fract_z
La1 La 0.0000 0.0000 0.0000
Ir1 Ir 0.0000 0.0000 0.5000
F1 F 0.0000 0.0000 0.2926

---

No. 15
# NiAs3Ir, optimized geometry, DFT PBEsol
# DOS at the Fermi energy: 0.54 states/eV per atom
data_NiAs3Ir
_chemical_formula_sum 'Ni1 As3 Ir1'
_space_group_name_H-M_alt 'P m -3 m'
_space_group_IT_number 221
_space_group_name_Hall '-P 4 2 3'
_cell_length_a 4.423
_cell_length_b 4.423
_cell_length_c 4.423
_cell_angle_alpha 90.00
_cell_angle_beta 90.00
_cell_angle_gamma 90.00
loop_
_atom_site_label
_atom_site_type_symbol
_atom_site_fract_x
_atom_site_fract_y
_atom_site_fract_z
Ni1 Ni 0.000 0.000 0.000
As1 As 0.000 0.000 0.500
Ir1 Ir 0.500 0.500 0.500

---

No. 16
# Si2SbIr, optimized geometry, DFT PBEsol
# DOS at the Fermi energy: 0.51 states/eV per atom
# ΔE_f (raw): 1.41 eV/f.u.
data_Si2SbIr
_chemical_formula_sum 'Si4 Sb2 Ir2'
_space_group_name_H-M_alt 'I 4/m m m'
_space_group_IT_number 139
_space_group_name_Hall '-I 4 2'
_cell_length_a 4.223
_cell_length_b 4.223
_cell_length_c 7.332
_cell_angle_alpha 90.00
_cell_angle_beta 90.00
_cell_angle_gamma 90.00
loop_
_atom_site_label
_atom_site_type_symbol
_atom_site_fract_x
_atom_site_fract_y
_atom_site_fract_z
Si1 Si 0.000 0.500 0.250
Sb1 Sb 0.000 0.000 0.000
Ir1 Ir 0.000 0.000 0.500

---

No. 17
# NaHgPb2Au, optimized geometry, DFT PBEsol
# DOS at the Fermi energy: 0.52 states/eV per atom
data_NaHgPb2Au
_chemical_formula_sum 'Na1 Hg1 Pb2 Au1'
_space_group_name_H-M_alt 'P 4/m m m'
_space_group_IT_number 123
_space_group_name_Hall '-P 4 2'
_cell_length_a 5.564
_cell_length_b 5.564
_cell_length_c 5.258
_cell_angle_alpha 90.00
_cell_angle_beta 90.00
_cell_angle_gamma 90.00
loop_
_atom_site_label
_atom_site_type_symbol
_atom_site_fract_x
_atom_site_fract_y
_atom_site_fract_z
Na1 Na 0.000 0.000 0.000
Hg1 Hg 0.000 0.000 0.500
Pb1 Pb 0.000 0.500 0.500
Au1 Au 0.500 0.500 0.000

---

No. 18
# SrTcN3, optimized geometry, DFT PBEsol
# ΔE_f (raw): -2.54 eV/f.u.
data_SrTcN3
_chemical_formula_sum 'Sr4 Tc4 N12'
_space_group_name_H-M_alt 'C 1 2/m 1'
_space_group_IT_number 12
_space_group_name_Hall '-C 2y'
_cell_length_a 12.325
_cell_length_b 3.714
_cell_length_c 6.628
_cell_angle_alpha 90.00
_cell_angle_beta 105.14
_cell_angle_gamma 90.00
loop_
_atom_site_label
_atom_site_type_symbol
_atom_site_fract_x
_atom_site_fract_y
_atom_site_fract_z
Sr1 Sr 0.115 0.000 0.330
Tc1 Tc 0.157 0.500 0.859
N1 N 0.007 0.500 0.907
N2 N 0.157 0.500 0.597
N3 N 0.182 0.000 0.986

---

No. 19
# NaTaZn2Ga, optimized geometry, DFT PBEsol
# DOS at the Fermi energy: 0.89 states/eV per atom
data_NaTaZn2Ga
_chemical_formula_sum 'Na1 Ta1 Zn2 Ga1'
_space_group_name_H-M_alt 'P 4/m m m'
_space_group_IT_number 123
_space_group_name_Hall '-P 4 2'
_cell_length_a 4.965
_cell_length_b 4.965
_cell_length_c 5.711
_cell_angle_alpha 90.00
_cell_angle_beta 90.00
_cell_angle_gamma 90.00
loop_
_atom_site_label
_atom_site_type_symbol
_atom_site_fract_x
_atom_site_fract_y
_atom_site_fract_z
Na1 Na 0.000 0.000 0.000
Ta1 Ta 0.000 0.000 0.500
Zn1 Zn 0.000 0.500 0.500
Ga1 Ga 0.500 0.500 0.000

---

No. 20
# CrHgSb2Os, optimized geometry, DFT PBEsol
# DOS at the Fermi energy: 1.28 states/eV per atom
# ΔE_f (raw): 10.07 eV/f.u.
data_CrHgSb2Os
_chemical_formula_sum 'Cr1 Hg1 Sb2 Os1'
_space_group_name_H-M_alt 'P 4/m m m'
_space_group_IT_number 123
_space_group_name_Hall '-P 4 2'
_cell_length_a 5.309
_cell_length_b 5.309
_cell_length_c 5.019
_cell_angle_alpha 90.00
_cell_angle_beta 90.00
_cell_angle_gamma 90.00
loop_
_atom_site_label
_atom_site_type_symbol
_atom_site_fract_x
_atom_site_fract_y
_atom_site_fract_z
Cr1 Cr 0.000 0.000 0.000
Hg1 Hg 0.500 0.500 0.500
Sb1 Sb 0.000 0.500 0.500
Os1 Os 0.500 0.500 0.000

---

These records have E_tot values of -6.206 -5.002 -7.299 -6.244 -6.377 -5.681 -6.817 -9.326 -2.462 -4.497 -9.099 -2.429 -5.038 -6.295 -5.533 -6.117 -2.269 -8.246 -2.707 -4.415 eV per atom, in the order they appear.